A geometry-optimized PaSiAu structure. Source: Alexandria via LeMat-Bulk, functional PBE.

Computed properties:
SG: No. 216

Cell: 4.5987 4.5987 4.5987 Å, 60.00 60.00 60.00°
Each line ends with the local moment (μB).
Fractional positions:
Si  0.2500  0.2500  0.2500  0.06
Pa  0.5000  0.5000  0.5000  1.22
Au  0.0000  0.0000  0.0000  0.07


A geometry-optimized NiHgPt2 structure. Source: Alexandria via LeMat-Bulk, functional PBE.

Computed properties:
SG: No. 6
Formation energy from the elements, eV/f.u.: 0.26

Cell: 3.7278 2.8393 6.6823 Å, 64.55 90.00 90.00°
Each line ends with the local moment (μB).
Fractional positions:
Hg  0.0000  0.4884  0.5107  -0.01
Ni  0.5000  0.7211  0.7802  0.41
Pt  0.0000  0.0218  0.9791  0.14
Pt  0.5000  0.2688  0.2300  0.05


| no. | magnetization (μB per cell) | final energy (eV per atom) |
| --- | --- | --- |
| 1 | 1.75 | -6.128 |
| 2 | 0.56 | -4.476 |